# PBE-GGA Nd2H2N, relaxed
# - Energy: -5.5848 eV per atom
data_Nd2H2N
_space_group_name_H-M_alt 'R -3 m'
_space_group_IT_number 166
_space_group_name_Hall '-R 3 2"'
_cell_length_a 3.5717
_cell_length_b 3.5717
_cell_length_c 22.6660
_cell_angle_alpha 90.00
_cell_angle_beta 90.00
_cell_angle_gamma 120.00
loop_
_atom_site_label
_atom_site_type_symbol
_atom_site_fract_x
_atom_site_fract_y
_atom_site_fract_z
_atom_site_occupancy
Nd1 Nd 0.0000 0.0000 0.1021 1
H1 H 0.0000 0.0000 0.3806 1
N1 N 0.0000 0.0000 0.5000 1